Density functional theory data (PBE) for PmTiSi2Rh5 after structural relaxation.

abc: 4.0950 4.0950 9.8810
angles: 90.00 90.00 90.00
Fractional coordinates of all 9 atoms:
Pm1 0.0000 0.0000 0.0000
Ti1 0.0000 0.0000 0.5000
Si1 0.5000 0.5000 0.2327
Si2 0.5000 0.5000 0.7673
Rh1 0.0000 0.5000 0.3461
Rh2 0.0000 0.5000 0.6539
Rh3 0.5000 0.0000 0.3461
Rh4 0.5000 0.0000 0.6539
Rh5 0.5000 0.5000 0.0000

Summary:
- E_tot (eV/atom) = -7.303
- spin magnetization (μB/f.u.) = 0.00
- DOS at the Fermi energy (states/eV/f.u.) = 3.760

Density functional theory data (PBE) for SrTeAuN2 after structural relaxation.

abc: 4.3318 4.3318 6.7607
angles: 90.00 90.00 90.00
Fractional coordinates of all 5 atoms:
Sr1 0.0000 0.0000 0.0000
Te1 0.0000 0.0000 0.5000
Au1 0.5000 0.5000 0.5000
N1 0.0000 0.5000 0.0000
N2 0.5000 0.0000 0.0000

Summary:
- E_tot (eV/atom) = -3.351
- spin magnetization (μB/f.u.) = 3.26
- DOS at the Fermi energy (states/eV/f.u.) = 4.054
- distance to the lowest polymorph of the same formula (eV per atom) = 0.654

Density functional theory data (PBE) for AlP2Ir2 after structural relaxation.

abc: 6.2853 6.2853 6.2853
angles: 145.82 145.82 49.12
Fractional coordinates of all 5 atoms:
Al1 0.0000 0.0000 0.0000
P1 0.2500 0.7500 0.5000
P2 0.7500 0.2500 0.5000
Ir1 0.3837 0.3837 0.0000
Ir2 0.6163 0.6163 0.0000

Summary:
- E_tot (eV/atom) = -6.545
- spin magnetization (μB/f.u.) = 0.00
- DOS at the Fermi energy (states/eV/f.u.) = 3.351
- distance to the lowest polymorph of the same formula (eV per atom) = 0.000

Density functional theory data (PBE) for Y2Er7Th after structural relaxation.

abc: 9.8655 9.8655 5.0259
angles: 90.00 90.00 129.15
Fractional coordinates of all 10 atoms:
Y1 0.2034 0.7966 0.0000
Y2 0.7966 0.2034 0.0000
Er1 0.0000 0.0000 0.0000
Er2 0.2167 0.4221 0.0000
Er3 0.3102 0.6898 0.5000
Er4 0.4221 0.2167 0.0000
Er5 0.5779 0.7833 0.0000
Er6 0.6898 0.3102 0.5000
Er7 0.7833 0.5779 0.0000
Th1 0.5000 0.5000 0.5000

Summary:
- E_tot (eV/atom) = -4.498
- spin magnetization (μB/f.u.) = 0.00
- DOS at the Fermi energy (states/eV/f.u.) = 16.360

Density functional theory data (PBE) for Sm3AlCd after structural relaxation.

abc: 8.4791 8.4791 8.3517
angles: 96.26 96.26 75.19
Fractional coordinates of all 20 atoms:
Sm1 0.0717 0.1946 0.0905
Sm2 0.1517 0.6510 0.5676
Sm3 0.1946 0.0717 0.5905
Sm4 0.3047 0.4280 0.9095
Sm5 0.3490 0.8483 0.9324
Sm6 0.4280 0.3047 0.4095
Sm7 0.5720 0.6953 0.5905
Sm8 0.6510 0.1517 0.0676
Sm9 0.6953 0.5720 0.0905
Sm10 0.8054 0.9283 0.4095
Sm11 0.8483 0.3490 0.4324
Sm12 0.9283 0.8054 0.9095
Al1 0.1172 0.8828 0.2500
Al2 0.3842 0.6158 0.2500
Al3 0.6158 0.3842 0.7500
Al4 0.8828 0.1172 0.7500
Cd1 0.0609 0.5602 0.2079
Cd2 0.4398 0.9391 0.2921
Cd3 0.5602 0.0609 0.7079
Cd4 0.9391 0.4398 0.7921

Summary:
- E_tot (eV/atom) = -3.935
- spin magnetization (μB/f.u.) = 0.00
- DOS at the Fermi energy (states/eV/f.u.) = 4.884
- distance to the lowest polymorph of the same formula (eV per atom) = 0.074

Density functional theory data (PBE) for Ac2CdTe4 after structural relaxation.

abc: 7.6747 7.7805 9.0715
angles: 90.00 107.17 90.00
Fractional coordinates of all 14 atoms:
Ac1 0.2210 0.2500 0.0529
Ac2 0.2347 0.2500 0.5611
Ac3 0.7653 0.7500 0.4389
Ac4 0.7790 0.7500 0.9471
Cd1 0.2445 0.7500 0.3128
Cd2 0.7555 0.2500 0.6872
Te1 0.0208 0.5161 0.7532
Te2 0.0208 0.9839 0.7532
Te3 0.4423 0.7500 0.0993
Te4 0.4508 0.7500 0.6237
Te5 0.5492 0.2500 0.3763
Te6 0.5577 0.2500 0.9007
Te7 0.9792 0.0161 0.2468
Te8 0.9792 0.4839 0.2468

Summary:
- E_tot (eV/atom) = -4.261
- spin magnetization (μB/f.u.) = 0.00
- DOS at the Fermi energy (states/eV/f.u.) = 0.220

Density functional theory data (PBE) for Te2RhSI after structural relaxation.

abc: 5.1949 5.1949 5.4504
angles: 90.00 90.00 90.00
Fractional coordinates of all 5 atoms:
Te1 0.0000 0.5000 0.0000
Te2 0.5000 0.0000 0.0000
Rh1 0.0000 0.0000 0.5000
S1 0.5000 0.5000 0.0000
I1 0.5000 0.5000 0.5000

Summary:
- E_tot (eV/atom) = -2.847
- spin magnetization (μB/f.u.) = 2.32
- DOS at the Fermi energy (states/eV/f.u.) = 7.304
- distance to the lowest polymorph of the same formula (eV per atom) = 0.418

Density functional theory data (PBE) for Sm3HoAu4 after structural relaxation.

abc: 3.6405 3.6405 14.6757
angles: 90.00 90.00 90.00
Fractional coordinates of all 8 atoms:
Sm1 0.0000 0.0000 0.0000
Sm2 0.0000 0.0000 0.2529
Sm3 0.0000 0.0000 0.7471
Ho1 0.0000 0.0000 0.5000
Au1 0.5000 0.5000 0.1256
Au2 0.5000 0.5000 0.3838
Au3 0.5000 0.5000 0.6162
Au4 0.5000 0.5000 0.8744

Summary:
- E_tot (eV/atom) = -4.796
- spin magnetization (μB/f.u.) = 0.00
- DOS at the Fermi energy (states/eV/f.u.) = 4.747

Density functional theory data (PBE) for CrCo2As2 after structural relaxation.

abc: 6.7516 6.7516 2.7826
angles: 90.00 90.00 90.00
Fractional coordinates of all 10 atoms:
Cr1 0.0000 0.0000 0.0000
Cr2 0.5000 0.5000 0.0000
Co1 0.1395 0.3605 0.5000
Co2 0.3605 0.8605 0.5000
Co3 0.6395 0.1395 0.5000
Co4 0.8605 0.6395 0.5000
As1 0.1591 0.6591 0.0000
As2 0.3409 0.1591 0.0000
As3 0.6591 0.8409 0.0000
As4 0.8409 0.3409 0.0000

Summary:
- E_tot (eV/atom) = -6.530
- spin magnetization (μB/f.u.) = 0.49
- DOS at the Fermi energy (states/eV/f.u.) = 5.495

Density functional theory data (PBE) for InCuIrBr2 after structural relaxation.

abc: 4.8632 4.8632 5.0303
angles: 90.00 90.00 90.00
Fractional coordinates of all 5 atoms:
In1 0.0000 0.0000 0.0000
Cu1 0.5000 0.5000 0.5000
Ir1 0.5000 0.5000 0.0000
Br1 0.0000 0.5000 0.5000
Br2 0.5000 0.0000 0.5000

Summary:
- E_tot (eV/atom) = -3.124
- spin magnetization (μB/f.u.) = 1.53
- DOS at the Fermi energy (states/eV/f.u.) = 9.950

Density functional theory data (PBE) for MgTi2 after structural relaxation.

abc: 8.1555 8.1555 4.8681
angles: 90.00 90.00 159.73
Fractional coordinates of all 6 atoms:
Mg1 0.0515 0.9485 0.7500
Mg2 0.9485 0.0515 0.2500
Ti1 0.2762 0.7238 0.2500
Ti2 0.3715 0.6285 0.7500
Ti3 0.6285 0.3715 0.2500
Ti4 0.7238 0.2762 0.7500

Summary:
- E_tot (eV/atom) = -5.729
- spin magnetization (μB/f.u.) = 0.00
- DOS at the Fermi energy (states/eV/f.u.) = 2.098

Density functional theory data (PBE) for Na3Cu2H4 after structural relaxation.

abc: 8.6030 8.6030 5.0010
angles: 106.76 106.76 46.30
Fractional coordinates of all 18 atoms:
Na1 0.1784 0.5336 0.1068
Na2 0.2076 0.7924 0.7500
Na3 0.4664 0.8216 0.3932
Na4 0.5336 0.1784 0.6068
Na5 0.7924 0.2076 0.2500
Na6 0.8216 0.4664 0.8932
Cu1 0.1008 0.3047 0.4514
Cu2 0.3047 0.1008 0.9514
Cu3 0.6953 0.8992 0.0486
Cu4 0.8992 0.6953 0.5486
H1 0.1433 0.1462 0.1428
H2 0.1462 0.1433 0.6428
H3 0.1682 0.4641 0.5645
H4 0.4641 0.1682 0.0645
H5 0.5359 0.8318 0.9355
H6 0.8318 0.5359 0.4355
H7 0.8538 0.8567 0.3572
H8 0.8567 0.8538 0.8572

Summary:
- E_tot (eV/atom) = -2.908
- spin magnetization (μB/f.u.) = 0.00
- DOS at the Fermi energy (states/eV/f.u.) = 1.050

Density functional theory data (PBE) for Na4AcSe3O12 after structural relaxation.

abc: 6.9664 6.9664 6.9664
angles: 109.47 109.47 109.47
Fractional coordinates of all 20 atoms:
Na1 0.0000 0.0000 0.5000
Na2 0.0000 0.5000 0.0000
Na3 0.5000 0.0000 0.0000
Na4 0.5000 0.5000 0.5000
Ac1 0.0000 0.0000 0.0000
Se1 0.0000 0.5000 0.5000
Se2 0.5000 0.0000 0.5000
Se3 0.5000 0.5000 0.0000
O1 0.1514 0.3400 0.4914
O2 0.1514 0.6600 0.8114
O3 0.1886 0.8486 0.3400
O4 0.3400 0.1886 0.8486
O5 0.3400 0.4914 0.1514
O6 0.4914 0.1514 0.3400
O7 0.5086 0.8486 0.6600
O8 0.6600 0.5086 0.8486
O9 0.6600 0.8114 0.1514
O10 0.8114 0.1514 0.6600
O11 0.8486 0.3400 0.1886
O12 0.8486 0.6600 0.5086

Summary:
- E_tot (eV/atom) = -4.997
- spin magnetization (μB/f.u.) = 0.11
- DOS at the Fermi energy (states/eV/f.u.) = 5.734

Density functional theory data (PBE) for PmCu6O12 after structural relaxation.

abc: 6.5117 6.5117 6.5117
angles: 109.47 109.47 109.47
Fractional coordinates of all 19 atoms:
Pm1 0.0000 0.0000 0.0000
Cu1 0.1631 0.6631 0.5000
Cu2 0.3369 0.5000 0.8369
Cu3 0.5000 0.1631 0.6631
Cu4 0.5000 0.8369 0.3369
Cu5 0.6631 0.5000 0.1631
Cu6 0.8369 0.3369 0.5000
O1 0.1505 0.3320 0.4825
O2 0.1505 0.6680 0.8186
O3 0.1814 0.8495 0.3320
O4 0.3320 0.1814 0.8495
O5 0.3320 0.4825 0.1505
O6 0.4825 0.1505 0.3320
O7 0.5175 0.8495 0.6680
O8 0.6680 0.5175 0.8495
O9 0.6680 0.8186 0.1505
O10 0.8186 0.1505 0.6680
O11 0.8495 0.3320 0.1814
O12 0.8495 0.6680 0.5175

Summary:
- E_tot (eV/atom) = -4.954
- spin magnetization (μB/f.u.) = 8.50
- DOS at the Fermi energy (states/eV/f.u.) = 19.039

Density functional theory data (PBE) for LaAg5F8 after structural relaxation.

abc: 6.6259 6.6259 6.6259
angles: 109.48 109.48 109.46
Fractional coordinates of all 14 atoms:
La1 0.0000 0.0000 0.0000
Ag1 0.3295 0.5837 0.7529
Ag2 0.4163 0.1693 0.7458
Ag3 0.4234 0.6705 0.2542
Ag4 0.7500 0.2500 0.5000
Ag5 0.8307 0.5766 0.2471
F1 0.0792 0.2693 0.8128
F2 0.0938 0.8010 0.7016
F3 0.0994 0.3923 0.2984
F4 0.1990 0.9006 0.2928
F5 0.4565 0.2664 0.1872
F6 0.6077 0.9062 0.7071
F7 0.7307 0.5435 0.8099
F8 0.7336 0.9208 0.1901

Summary:
- E_tot (eV/atom) = -4.308
- spin magnetization (μB/f.u.) = 0.00

Density functional theory data (PBE) for Mg2CrHg after structural relaxation.

abc: 5.2858 5.2858 5.2858
angles: 132.60 132.60 69.28
Fractional coordinates of all 4 atoms:
Mg1 0.0000 0.0000 0.0000
Mg2 0.7500 0.2500 0.5000
Cr1 0.2500 0.7500 0.5000
Hg1 0.5000 0.5000 0.0000

Summary:
- E_tot (eV/atom) = -3.146
- spin magnetization (μB/f.u.) = 4.10
- DOS at the Fermi energy (states/eV/f.u.) = 1.653

Density functional theory data (PBE) for ErNpCd after structural relaxation.

abc: 5.8950 5.8950 6.6512
angles: 121.12 121.12 53.67
Fractional coordinates of all 6 atoms:
Er1 0.0172 0.0172 0.2640
Er2 0.9828 0.9828 0.7360
Np1 0.3723 0.3723 0.3101
Np2 0.6277 0.6277 0.6899
Cd1 0.3345 0.3345 0.7924
Cd2 0.6655 0.6655 0.2076

Summary:
- E_tot (eV/atom) = -5.891
- spin magnetization (μB/f.u.) = 3.04
- DOS at the Fermi energy (states/eV/f.u.) = 5.479

Density functional theory data (PBE) for CuSiW after structural relaxation.

abc: 6.4100 6.2191 2.7357
angles: 81.43 73.61 24.96
Fractional coordinates of all 3 atoms:
Cu1 0.0000 0.0000 0.0000
Si1 0.6561 0.6561 0.3439
W1 0.3197 0.3197 0.6803

Summary:
- E_tot (eV/atom) = -7.206
- spin magnetization (μB/f.u.) = 0.00
- DOS at the Fermi energy (states/eV/f.u.) = 2.293
- distance to the lowest polymorph of the same formula (eV per atom) = 0.178

Density functional theory data (PBE) for Sr2TbInSe5 after structural relaxation.

abc: 9.5170 9.5170 13.1019
angles: 90.00 90.00 154.44
Fractional coordinates of all 18 atoms:
Sr1 0.1157 0.8843 0.5000
Sr2 0.1318 0.8682 0.1359
Sr3 0.8682 0.1318 0.6359
Sr4 0.8843 0.1157 0.0000
Tb1 0.2122 0.7878 0.8406
Tb2 0.7878 0.2122 0.3406
In1 0.4499 0.5501 0.2621
In2 0.5501 0.4499 0.7621
Se1 0.0500 0.9500 0.8815
Se2 0.2881 0.7119 0.4882
Se3 0.3125 0.6875 0.1869
Se4 0.3620 0.6380 0.8217
Se5 0.4942 0.5058 0.5851
Se6 0.5058 0.4942 0.0851
Se7 0.6380 0.3620 0.3217
Se8 0.6875 0.3125 0.6869
Se9 0.7119 0.2881 0.9882
Se10 0.9500 0.0500 0.3815

Summary:
- E_tot (eV/atom) = -4.723
- spin magnetization (μB/f.u.) = 0.00